# 1
CdAgTeO | PBE | relaxed

Cell lengths 4.273, 4.273, 9.371 Å; angles 90.00, 90.00, 90.00 degrees
Space group P4/nmm (No. 129, origin choice 2)
Unique sites:
Cd (0.250, 0.250, 0.135) [2 per cell]
Ag (0.250, 0.250, 0.461) [2 per cell]
Te (0.250, 0.250, 0.826) [2 per cell]
O (0.250, 0.750, 0.500) [2 per cell]

## Properties
**Crystal system**: tetragonal
**Relative energy among the computed polymorphs**: 315 meV/atom
**DFT total energy**: -3.035 eV per atom
**Volume**: 21.38 A^3/atom

---

# 2
CdAgTeO | PBE | relaxed

Cell lengths 6.958, 8.220, 5.978 Å; angles 90.00, 90.00, 90.00 degrees
Space group Pca2_1 (No. 29)
Unique sites:
Cd (0.112, 0.065, 0.000) [4 per cell]
Ag (0.191, 0.695, 0.146) [4 per cell]
Te (0.192, 0.376, 0.551) [4 per cell]
O (0.156, 0.931, 0.688) [4 per cell]

## Properties
**Crystal system**: orthorhombic
**Relative energy among the computed polymorphs**: 1 meV/atom
**DFT total energy**: -3.349 eV per atom
**Volume**: 21.37 A^3/atom

---

# 3
CdAgTeO | PBE | relaxed

Cell lengths 4.227, 4.227, 9.012 Å; angles 90.00, 90.00, 90.00 degrees
Space group P4/nmm (No. 129, origin choice 2)
Unique sites:
Cd (0.250, 0.750, 0.000) [2 per cell]
Ag (0.250, 0.250, 0.223) [2 per cell]
Te (0.250, 0.250, 0.680) [2 per cell]
O (0.250, 0.250, 0.472) [2 per cell]

## Properties
**Crystal system**: tetragonal
**Relative energy among the computed polymorphs**: 310 meV/atom
**DFT total energy**: -3.040 eV per atom
**Volume**: 20.13 A^3/atom

---

# 4
CdAgTeO | PBE | relaxed

Cell lengths 3.349, 15.356, 5.983 Å; angles 90.00, 90.00, 90.00 degrees
Space group Cmcm (No. 63)
Unique sites:
Cd (0.000, 0.046, 0.250) [4 per cell]
Ag (0.000, 0.371, 0.250) [4 per cell]
Te (0.000, 0.280, 0.750) [4 per cell]
O (0.000, 0.500, 0.000) [4 per cell]

## Properties
**Crystal system**: orthorhombic
**Relative energy among the computed polymorphs**: 115 meV/atom
**DFT total energy**: -3.235 eV per atom
**Volume**: 19.23 A^3/atom

---

# 5
CdAgTeO | PBE | relaxed

Cell lengths 4.153, 4.153, 10.643 Å; angles 90.00, 90.00, 90.00 degrees
Space group P4/nmm (No. 129, origin choice 2)
Unique sites:
Cd (0.250, 0.250, 0.107) [2 per cell]
Ag (0.250, 0.250, 0.710) [2 per cell]
Te (0.250, 0.750, 0.500) [2 per cell]
O (0.250, 0.250, 0.907) [2 per cell]

## Properties
**Crystal system**: tetragonal
**Relative energy among the computed polymorphs**: 423 meV/atom
**DFT total energy**: -2.927 eV per atom
**Volume**: 22.94 A^3/atom

---

# 6
CdAgTeO | PBE | relaxed

Cell lengths 3.594, 14.105, 6.523 Å; angles 90.00, 90.00, 90.00 degrees
Space group Cmc2_1 (No. 36)
Unique sites:
Cd (0.000, 0.189, 0.000) [4 per cell]
Ag (0.000, 0.498, 0.776) [4 per cell]
Te (0.000, 0.142, 0.527) [4 per cell]
O (0.000, 0.401, 0.524) [4 per cell]

## Properties
**Crystal system**: orthorhombic
**Relative energy among the computed polymorphs**: 82 meV/atom
**DFT total energy**: -3.268 eV per atom
**Volume**: 20.66 A^3/atom

---

# 7
CdAgTeO | PBE | relaxed

Cell lengths 3.6863, 3.6863, 14.1583 Å; angles 90.00, 90.00, 120.00 degrees
Space group P6_3mc (No. 186)
Unique sites:
Cd (0.3333, 0.6667, 0.0000) [2 per cell]
Ag (0.0000, 0.0000, 0.1985) [2 per cell]
Te (0.3333, 0.6667, 0.3277) [2 per cell]
O (0.0000, 0.0000, 0.0447) [2 per cell]

## Properties
**Crystal system**: hexagonal
**Relative energy among the computed polymorphs**: 23 meV/atom
**DFT total energy**: -3.327 eV per atom
**Volume**: 20.83 A^3/atom

---

# 8
CdAgTeO | PBE | relaxed

Cell lengths 3.8532, 3.8532, 13.1980 Å; angles 90.00, 90.00, 120.00 degrees
Space group P6_3mc (No. 186)
Unique sites:
Cd (0.0000, 0.0000, 0.0000) [2 per cell]
Ag (0.3333, 0.6667, 0.2855) [2 per cell]
Te (0.3333, 0.6667, 0.6449) [2 per cell]
O (0.0000, 0.0000, 0.3432) [2 per cell]

## Properties
**Crystal system**: hexagonal
**Relative energy among the computed polymorphs**: 238 meV/atom
**DFT total energy**: -3.113 eV per atom
**Volume**: 21.21 A^3/atom

---

# 9
CdAgTeO | PBE | relaxed

Cell lengths 5.901, 6.927, 8.375 Å; angles 90.00, 90.00, 90.00 degrees
Space group P2_12_12_1 (No. 19)
Unique sites:
Cd (0.069, 0.023, 0.225) [4 per cell]
Ag (0.031, 0.338, 0.872) [4 per cell]
Te (0.044, 0.748, 0.943) [4 per cell]
O (0.091, 0.772, 0.375) [4 per cell]

## Properties
**Crystal system**: orthorhombic
**Relative energy among the computed polymorphs**: 70 meV/atom
**DFT total energy**: -3.280 eV per atom
**Volume**: 21.40 A^3/atom

---

# 10
CdAgTeO | PBE | relaxed

Cell lengths 6.551, 3.555, 14.269 Å; angles 90.00, 90.00, 90.00 degrees
Space group Pnma (No. 62)
Unique sites:
Cd (0.248, 0.250, 0.062) [4 per cell]
Ag (0.021, 0.250, 0.751) [4 per cell]
Te (0.237, 0.250, 0.394) [4 per cell]
O (0.231, 0.750, 0.152) [4 per cell]

## Properties
**Crystal system**: orthorhombic
**Relative energy among the computed polymorphs**: 82 meV/atom
**DFT total energy**: -3.268 eV per atom
**Volume**: 20.77 A^3/atom

---

# 11
CdAgTeO | PBE | relaxed

Cell lengths 7.034, 8.667, 5.669 Å; angles 90.00, 90.00, 90.00 degrees
Space group Pca2_1 (No. 29)
Unique sites:
Cd (0.107, 0.108, 0.000) [4 per cell]
Ag (0.118, 0.741, 0.042) [4 per cell]
Te (0.049, 0.588, 0.581) [4 per cell]
O (0.094, 0.077, 0.607) [4 per cell]

## Properties
**Crystal system**: orthorhombic
**Relative energy among the computed polymorphs**: 31 meV/atom
**DFT total energy**: -3.319 eV per atom
**Volume**: 21.60 A^3/atom

---

# 12
CdAgTeO | PBE | relaxed

Cell lengths 5.960, 8.471, 14.137 Å; angles 90.00, 90.00, 90.00 degrees
Space group Pbca (No. 61)
Unique sites:
Cd (0.208, 0.247, 0.156) [8 per cell]
Ag (0.249, 0.005, 0.816) [8 per cell]
Te (0.249, 0.002, 0.521) [8 per cell]
O (0.150, 0.745, 0.299) [8 per cell]

## Properties
**Crystal system**: orthorhombic
**Relative energy among the computed polymorphs**: 103 meV/atom
**DFT total energy**: -3.247 eV per atom
**Volume**: 22.30 A^3/atom

---

# 13
CdAgTeO | PBE | relaxed

Cell lengths 3.554, 14.454, 6.138 Å; angles 90.00, 90.00, 90.00 degrees
Space group Cmcm (No. 63)
Unique sites:
Cd (0.000, 0.108, 0.250) [4 per cell]
Ag (0.000, 0.430, 0.250) [4 per cell]
Te (0.000, 0.228, 0.750) [4 per cell]
O (0.000, 0.000, 0.000) [4 per cell]

## Properties
**Crystal system**: orthorhombic
**Relative energy among the computed polymorphs**: 239 meV/atom
**DFT total energy**: -3.111 eV per atom
**Volume**: 19.70 A^3/atom

---

# 14
CdAgTeO | PBE | relaxed

Cell lengths 6.588, 14.914, 7.387 Å; angles 90.00, 90.00, 90.00 degrees
Space group Pbca (No. 61)
Unique sites:
Cd (0.042, 0.246, 0.130) [8 per cell]
Ag (0.240, 0.071, 0.927) [8 per cell]
Te (0.001, 0.552, 0.241) [8 per cell]
O (0.215, 0.223, 0.877) [8 per cell]

## Properties
**Crystal system**: orthorhombic
**Relative energy among the computed polymorphs**: 0 meV/atom
**DFT total energy**: -3.350 eV per atom
**Volume**: 22.68 A^3/atom

---

# 15
CdAg2Os | PBE | relaxed

Cell lengths 6.537, 6.537, 6.537 Å; angles 90.00, 90.00, 90.00 degrees
Space group F-43m (No. 216)
Unique sites:
Cd (0.000, 0.000, 0.000) [4 per cell]
Ag (0.000, 0.000, 0.500) [4 per cell]
Ag (0.250, 0.250, 0.250) [4 per cell]
Os (0.250, 0.250, 0.750) [4 per cell]

## Properties
**Crystal system**: cubic
**Total moment**: 1.000 μB/f.u.
**DFT total energy**: -3.745 eV per atom
**Volume**: 17.46 A^3/atom

---

# 16
Cd2Ag3Os | PBE | relaxed

Cell lengths 5.3556, 5.3556, 4.7868 Å; angles 90.00, 90.00, 120.00 degrees
Space group P6/mmm (No. 191)
Unique sites:
Cd (0.3333, 0.6667, 0.0000) [2 per cell]
Ag (0.0000, 0.5000, 0.5000) [3 per cell]
Os (0.0000, 0.0000, 0.0000) [1 per cell]

## Properties
**Crystal system**: hexagonal
**Total moment**: 1.748 μB/f.u.
**DFT total energy**: -2.808 eV per atom
**Volume**: 19.82 A^3/atom

---

# 17
CdAgOs | PBE | relaxed

Cell lengths 6.335, 6.335, 6.335 Å; angles 90.00, 90.00, 90.00 degrees
Space group F-43m (No. 216)
Unique sites:
Cd (0.000, 0.000, 0.000) [4 per cell]
Ag (0.000, 0.000, 0.500) [4 per cell]
Os (0.250, 0.250, 0.750) [4 per cell]

## Properties
**Crystal system**: cubic
**Total moment**: 1.864 μB/f.u.
**Relative energy among the computed polymorphs**: 0 meV/atom
**DFT total energy**: -3.772 eV per atom
**Volume**: 21.18 A^3/atom

---

# 18
Cd3AgPS6 | PBE | relaxed

Cell lengths 12.410, 7.174, 12.421 Å; angles 90.00, 110.81, 90.00 degrees
Space group Cc (No. 9)
Unique sites:
Cd (0.000, 0.062, 0.000) [4 per cell]
Cd (0.324, 0.364, 0.699) [4 per cell]
Cd (0.356, 0.092, 0.006) [4 per cell]
Ag (0.140, 0.297, 0.347) [4 per cell]
P (0.076, 0.230, 0.759) [4 per cell]
S (0.118, 0.464, 0.685) [4 per cell]
S (0.145, 0.001, 0.212) [4 per cell]
S (0.145, 0.259, 0.937) [4 per cell]
S (0.331, 0.253, 0.511) [4 per cell]
S (0.399, 0.268, 0.208) [4 per cell]
S (0.457, 0.259, 0.891) [4 per cell]

## Properties
**Crystal system**: monoclinic
**DFT total energy**: -3.680 eV per atom
**Volume**: 23.49 A^3/atom

---

# 19
CdAgPb2 | PBE | relaxed

Cell lengths 7.499, 7.499, 7.499 Å; angles 90.00, 90.00, 90.00 degrees
Space group F-43m (No. 216)
Unique sites:
Cd (0.000, 0.000, 0.000) [4 per cell]
Ag (0.250, 0.250, 0.250) [4 per cell]
Pb (0.000, 0.000, 0.500) [4 per cell]
Pb (0.250, 0.250, 0.750) [4 per cell]

## Properties
**Crystal system**: cubic
**DFT total energy**: -2.648 eV per atom
**Volume**: 26.36 A^3/atom

---

# 20
CdAg2PbSeS3 | PBE | relaxed

Cell lengths 8.444, 8.344, 7.385 Å; angles 90.00, 124.57, 90.00 degrees
Space group Cm (No. 8)
Unique sites:
Cd (0.000, 0.000, 0.000) [2 per cell]
Ag (0.496, 0.237, 0.483) [4 per cell]
Pb (0.006, 0.500, 0.996) [2 per cell]
Se (0.119, 0.000, 0.731) [2 per cell]
S (0.129, 0.500, 0.746) [2 per cell]
S (0.131, 0.251, 0.250) [4 per cell]

## Properties
**Crystal system**: monoclinic
**DFT total energy**: -3.505 eV per atom
**Volume**: 26.78 A^3/atom